[1]
A plane-wave DFT calculation with PBE was carried out for an optimized crystal structure of VCoNi2.

The structure in POSCAR format:
```
VCoNi2
1.0
3.992 0.000 0.000
1.996 3.457 0.000
1.996 1.152 3.259
V Co Ni
1 1 2
direct
0.750 0.750 0.750 V
0.500 0.500 0.500 Co
0.000 0.000 0.000 Ni
0.250 0.250 0.250 Ni
```

Computed properties:
magnetic moment	0.00	μB per formula unit
volume	11.246	A^3/atom
E_tot	-28.09	eV/f.u.
E above lowest polymorph	0.123	eV/atom
N(E_F)	0.691	states/eV per atom
E_form	-0.0757	eV per atom

[2]
A plane-wave DFT calculation with PBE was carried out for an optimized crystal structure of V2Co9Ni.

The structure in POSCAR format:
```
V2Co9Ni
1.0
-2.560 2.370 0.533
-2.007 -1.627 -2.405
-4.127 -6.171 7.617
V Co Ni
2 9 1
direct
0.000 0.000 0.335 V
0.000 0.000 0.665 V
0.500 0.500 0.000 Co
0.500 0.500 0.334 Co
0.500 0.500 0.666 Co
0.500 0.000 0.164 Co
0.500 0.000 0.500 Co
0.500 0.000 0.836 Co
0.000 0.500 0.164 Co
0.000 0.500 0.500 Co
0.000 0.500 0.836 Co
0.000 0.000 0.000 Ni
```

Computed properties:
magnetic moment	9.63	μB per formula unit
volume	11.042	A^3/atom
E_tot	-88.97	eV/f.u.
N(E_F)	1.218	states/eV per atom
E_form	-0.0830	eV per atom